Compound: CoAsO2F
Source: Alexandria via LeMat-Bulk
Functional: PBE with a Hubbard U
Structure: optimized geometry

Values from the calculation:
E	-4.87	eV/atom
space group	P4/mmm, No. 123

Lattice parameters (Å, degrees): 3.935 3.935 4.087 90.00 90.00 90.00
Last column: magnetic moment on the atom in μB.
Positions (direct):
As: 0.000 0.000 0.000  0.00
Co: 0.500 0.500 0.500  2.31
O: 0.000 0.500 0.000  0.01
O: 0.500 0.000 0.000  0.01
F: 0.000 0.000 0.500  0.00